1.
Crystalline GaSbSN2 at its relaxed geometry, computed with GGA-PBE.

Cell: 3.9496 3.9496 4.9302 Å, 90.00 90.00 90.00°
Space group P4/mmm (No. 123)
One atom of each set of equivalent atoms:
Ga: 0.0000 0.0000 0.0000 (multiplicity 1)
Sb: 0.5000 0.5000 0.5000 (multiplicity 1)
S: 0.0000 0.0000 0.5000 (multiplicity 1)
N: 0.0000 0.5000 0.0000 (multiplicity 2)

**Density**: 5.43 g cm⁻³
**Electronic total energy**: -4.535 eV per atom
**Total magnetic moment**: 1.5 μB/cell


2.
Crystalline GaSeS2N at its relaxed geometry, computed with GGA-PBE.

Cell: 4.9674 4.9674 3.7380 Å, 90.00 90.00 90.00°
Space group P4/mmm (No. 123)
One atom of each set of equivalent atoms:
Ga: 0.0000 0.0000 0.0000 (multiplicity 1)
Se: 0.5000 0.5000 0.5000 (multiplicity 1)
S: 0.0000 0.5000 0.5000 (multiplicity 2)
N: 0.5000 0.5000 0.0000 (multiplicity 1)

**Density**: 4.08 g cm⁻³
**Electronic total energy**: -3.667 eV per atom
**Total magnetic moment**: 0.9 μB/cell


3.
Crystalline GaSeS2N at its relaxed geometry, computed with GGA-PBE.

Cell: 4.9149 4.9149 3.6324 Å, 90.00 90.00 90.00°
Space group P4/mmm (No. 123)
One atom of each set of equivalent atoms:
Ga: 0.0000 0.0000 0.0000 (multiplicity 1)
Se: 0.5000 0.5000 0.5000 (multiplicity 1)
S: 0.0000 0.5000 0.0000 (multiplicity 2)
N: 0.0000 0.0000 0.5000 (multiplicity 1)

**Density**: 4.29 g cm⁻³
**Electronic total energy**: -3.670 eV per atom
**Total magnetic moment**: 0.0 μB/cell


4.
Crystalline GaSiSN2 at its relaxed geometry, computed with GGA-PBE.

Cell: 3.6523 3.9623 4.9301 Å, 99.30 94.25 106.82°
Space group P1 (No. 1)
One atom of each set of equivalent atoms:
Ga: 0.0000 0.0000 0.0000 (multiplicity 1)
Si: 0.4727 0.8193 0.4758 (multiplicity 1)
S: 0.7674 0.4122 0.4713 (multiplicity 1)
N: 0.0623 0.5551 0.2180 (multiplicity 1)
N: 0.4583 0.9495 0.8221 (multiplicity 1)

**Density**: 3.92 g cm⁻³
**Electronic total energy**: -5.651 eV per atom
**Total magnetic moment**: 0.0 μB/cell


5.
Crystalline GaSiSN2 at its relaxed geometry, computed with GGA-PBE.

Cell: 5.1960 3.0101 9.2094 Å, 90.00 102.41 90.00°
Space group Cm (No. 8)
One atom of each set of equivalent atoms:
Ga: 0.0000 0.0000 0.0000 (multiplicity 2)
Si: 0.4465 0.0000 0.2941 (multiplicity 2)
S: 0.0968 0.5000 0.7886 (multiplicity 2)
N: 0.3003 0.5000 0.3471 (multiplicity 2)
N: 0.3716 0.0000 0.0987 (multiplicity 2)

**Density**: 3.73 g cm⁻³
**Electronic total energy**: -6.277 eV per atom
**Total magnetic moment**: 0.0 μB/cell


6.
Crystalline GaSiSN2 at its relaxed geometry, computed with GGA-PBE.

Cell: 2.8425 2.8433 8.9630 Å, 82.46 81.69 60.04°
Space group P1 (No. 1)
One atom of each set of equivalent atoms:
Ga: 0.0000 0.0000 0.0000 (multiplicity 1)
Si: 0.7758 0.7493 0.6741 (multiplicity 1)
S: 0.5449 0.4935 0.3635 (multiplicity 1)
N: 0.0765 0.0584 0.7724 (multiplicity 1)
N: 0.4836 0.4467 0.5498 (multiplicity 1)

**Density**: 4.23 g cm⁻³
**Electronic total energy**: -6.051 eV per atom
**Total magnetic moment**: 0.0 μB/cell


7.
Crystalline GaSiSN2 at its relaxed geometry, computed with GGA-PBE.

Cell: 3.6968 4.5309 4.9289 Å, 102.40 101.15 106.60°
Space group P1 (No. 1)
One atom of each set of equivalent atoms:
Ga: 0.0000 0.0000 0.0000 (multiplicity 1)
Si: 0.1642 0.4120 0.7347 (multiplicity 1)
S: 0.7199 0.5082 0.4161 (multiplicity 1)
N: 0.2921 0.2622 0.4133 (multiplicity 1)
N: 0.4330 0.7936 0.9480 (multiplicity 1)

**Density**: 3.53 g cm⁻³
**Electronic total energy**: -5.742 eV per atom
**Total magnetic moment**: 0.0 μB/cell


8.
Crystalline GaSiSN2 at its relaxed geometry, computed with GGA-PBE.

Cell: 3.0345 4.4382 5.2100 Å, 99.60 90.00 109.82°
Space group P1 (No. 1)
One atom of each set of equivalent atoms:
Ga: 0.0000 0.0000 0.0000 (multiplicity 1)
Si: 0.8112 0.6259 0.3342 (multiplicity 1)
S: 0.6003 0.2015 0.6745 (multiplicity 1)
N: 0.2251 0.4524 0.2098 (multiplicity 1)
N: 0.7951 0.5960 0.6787 (multiplicity 1)

**Density**: 4.04 g cm⁻³
**Electronic total energy**: -5.789 eV per atom
**Total magnetic moment**: 0.0 μB/cell